Record 1
{"formula": "P3Se", "functional": "PBE", "state": "relaxed", "e_above_lowest_polymorph_ev_per_atom": 0.0902, "rho_g_cm3": 4.30, "total_magnetization_mub_per_cell": 0.00, "volume_a3_per_atom": 16.58, "dft_energy_ev_per_cell": -18.84, "raw_formation_energy_ev_per_fu": 0.9, "lattice_angstrom": [[1.777, 1.026, 6.061], [-1.777, 1.026, 6.061], [0.000, -2.052, 6.061]], "species": ["P", "P", "P", "Se"], "frac_coords": [[0.000, 0.000, 0.000], [0.259, 0.259, 0.259], [0.741, 0.741, 0.741], [0.500, 0.500, 0.500]]}

***

Record 2
{"formula": "P3Se", "functional": "PBE", "state": "relaxed", "e_above_lowest_polymorph_ev_per_atom": 0.0000, "rho_g_cm3": 2.55, "total_magnetization_mub_per_cell": 0.00, "volume_a3_per_atom": 27.95, "dft_energy_ev_per_cell": -19.20, "raw_formation_energy_ev_per_fu": 0.5, "lattice_angstrom": [[6.190, -1.656, 0.000], [6.190, 1.656, 0.000], [-3.022, 0.000, 5.454]], "species": ["P", "P", "P", "Se"], "frac_coords": [[0.000, 0.000, 0.000], [0.540, 0.540, 0.801], [0.741, 0.741, 0.059], [0.787, 0.787, 0.754]]}

***

Record 3
{"formula": "P2Se", "functional": "PBE", "state": "relaxed", "e_above_lowest_polymorph_ev_per_atom": 0.2003, "rho_g_cm3": 4.48, "total_magnetization_mub_per_cell": 0.00, "volume_a3_per_atom": 17.41, "dft_energy_ev_per_cell": -13.67, "raw_formation_energy_ev_per_fu": 0.6, "lattice_angstrom": [[3.591, 0.000, 0.000], [-1.795, 3.110, 0.000], [0.000, 0.000, 4.678]], "species": ["P", "P", "Se"], "frac_coords": [[0.333, 0.667, 0.368], [0.667, 0.333, 0.632], [0.000, 0.000, 0.000]]}

***

Record 4
{"formula": "P3Se", "functional": "PBE", "state": "relaxed", "e_above_lowest_polymorph_ev_per_atom": 0.2440, "rho_g_cm3": 3.30, "total_magnetization_mub_per_cell": 0.00, "volume_a3_per_atom": 21.64, "dft_energy_ev_per_cell": -18.23, "raw_formation_energy_ev_per_fu": 1.5, "lattice_angstrom": [[4.766, -1.554, 0.000], [4.766, 1.554, 0.000], [-4.243, 0.000, 5.844]], "species": ["P", "P", "P", "Se"], "frac_coords": [[0.000, 0.000, 0.000], [0.367, 0.367, 0.078], [0.633, 0.633, 0.922], [0.500, 0.500, 0.500]]}